The following is a DFT calculation (GGA-PBE) of an optimized crystal structure of K3TcAu.

Geometry as POSCAR:
```
K3TcAu
1.0
6.2527 0.0000 0.0000
0.0000 6.2527 0.0000
0.0000 0.0000 6.2527
K Au Tc
3 1 1
Direct
0.0000 0.5000 0.0000 K
0.5000 0.0000 0.0000 K
0.0000 0.0000 0.5000 K
0.5000 0.5000 0.5000 Au
0.0000 0.0000 0.0000 Tc
```

## Properties
energy of formation from the pure elements	1.0987	eV per atom
space group	Pm-3m (221)



The following is a DFT calculation (GGA-PBE) of an optimized crystal structure of Ru2PtRh9.

Geometry as POSCAR:
```
Ru2PtRh9
1.0
-3.7760 -0.3700 0.6054
0.4889 -3.7327 0.7678
1.5486 2.5043 11.1892
Ru Rh Pt
2 9 1
Direct
0.0000 0.0000 0.3312 Ru
0.0000 0.0000 0.6688 Ru
0.0000 0.5000 0.8285 Rh
0.0000 0.5000 0.1715 Rh
0.5000 0.5000 0.3361 Rh
0.0000 0.5000 0.5000 Rh
0.5000 0.5000 0.6639 Rh
0.5000 0.0000 0.5000 Rh
0.5000 0.0000 0.1715 Rh
0.5000 0.5000 0.0000 Rh
0.5000 0.0000 0.8285 Rh
0.0000 0.0000 0.0000 Pt
```

## Properties
energy of formation from the pure elements	-0.0014	eV per atom
space group	P4/mmm (123)



The following is a DFT calculation (GGA-PBE) of an optimized crystal structure of MnVSn2.

Geometry as POSCAR:
```
MnVSn2
1.0
3.1240 0.0000 0.0000
1.5620 2.7054 0.0000
1.5620 0.9018 9.8108
Sn V Mn
2 1 1
Direct
0.0920 0.0920 0.7239 Sn
0.9080 0.9080 0.2761 Sn
0.5000 0.5000 0.5000 V
0.0000 0.0000 0.0000 Mn
```

## Properties
energy of formation from the pure elements	0.4692	eV per atom
space group	R-3m (166)
excess energy over the best structure of this formula in the dataset	0.164	eV per atom



The following is a DFT calculation (GGA-PBE) of an optimized crystal structure of SrRhBr2O.

Geometry as POSCAR:
```
SrRhBr2O
1.0
5.8406 0.0000 0.0000
0.0000 5.9431 0.0000
0.0000 0.0000 5.8406
Rh O Br Sr
1 1 2 1
Direct
0.0000 0.5000 0.0000 Rh
0.5000 0.5000 0.5000 O
0.5000 0.0000 0.0000 Br
0.0000 0.0000 0.5000 Br
0.0000 0.0000 0.0000 Sr
```

## Properties
energy relative to the elements, uncorrected	0.485	eV per atom
space group	P4/mmm (123)



The following is a DFT calculation (GGA-PBE) of an optimized crystal structure of PaCdS3.

Geometry as POSCAR:
```
PaCdS3
1.0
-0.6225 2.0903 3.8343
-6.8142 -4.1730 -1.3697
9.6871 -2.9486 3.1821
Cd S Pa
2 6 2
Direct
0.6202 0.8095 0.7337 Cd
0.9308 0.4297 0.3253 Cd
0.1608 0.8904 0.6553 S
0.9077 0.3842 0.0638 S
0.6357 0.8400 0.2887 S
0.6433 0.8551 0.9953 S
0.9154 0.3993 0.7704 S
0.3903 0.3489 0.4038 S
0.4079 0.3843 0.9040 Pa
0.1432 0.8550 0.1552 Pa
```

## Properties
energy relative to the elements, uncorrected	-1.077	eV per atom
space group	C2/m (12)



The following is a DFT calculation (GGA-PBE) of an optimized crystal structure of Th3Te4.

Geometry as POSCAR:
```
Th3Te4
1.0
4.4050 0.0000 0.0000
0.0000 7.2772 -2.3441
0.0000 -0.0785 7.6450
Te Th
4 3
Direct
0.0000 0.7385 0.7385 Te
0.0000 0.2615 0.2615 Te
0.5000 0.7353 0.2647 Te
0.5000 0.2647 0.7353 Te
0.5000 0.0000 0.0000 Th
0.0000 0.0000 0.5000 Th
0.0000 0.5000 0.0000 Th
```

## Properties
energy relative to the elements, uncorrected	-1.136	eV per atom
space group	Cmmm (65)
excess energy over the best structure of this formula in the dataset	0.000	eV per atom



The following is a DFT calculation (GGA-PBE) of an optimized crystal structure of SmMgNi2H8.

Geometry as POSCAR:
```
SmMgNi2H8
1.0
4.6356 0.0000 0.0000
2.3178 4.0146 0.0000
2.3178 1.3382 5.5279
H Sm Ni Mg
8 1 2 1
Direct
0.9163 0.5922 0.1797 H
0.0837 0.4078 0.8203 H
0.4078 0.6882 0.8203 H
0.8166 0.8166 0.5502 H
0.5922 0.3118 0.1797 H
0.6882 0.0837 0.8203 H
0.3118 0.9163 0.1797 H
0.1834 0.1834 0.4498 H
0.5000 0.5000 0.5000 Sm
0.2754 0.2754 0.1737 Ni
0.7246 0.7246 0.8263 Ni
0.0000 0.0000 0.0000 Mg
```

## Properties
total DFT energy (no corrections)	-3.8625	eV/atom
space group	R-3 (148)



The following is a DFT calculation (GGA-PBE) of an optimized crystal structure of RbVCu3.

Geometry as POSCAR:
```
RbVCu3
1.0
4.9405 0.0000 0.0000
0.0000 4.9405 0.0000
0.0000 0.0000 4.9405
Rb Cu V
1 3 1
Direct
0.5000 0.5000 0.5000 Rb
0.0000 0.0000 0.5000 Cu
0.5000 0.0000 0.0000 Cu
0.0000 0.5000 0.0000 Cu
0.0000 0.0000 0.0000 V
```

## Properties
energy of formation from the pure elements	0.9542	eV per atom
space group	Pm-3m (221)
excess energy over the best structure of this formula in the dataset	0.000	eV per atom



The following is a DFT calculation (GGA-PBE) of an optimized crystal structure of Ac5Mg2Pb5.

Geometry as POSCAR:
```
Ac5Mg2Pb5
1.0
4.8703 0.0000 1.1989
2.2486 8.7701 1.3574
0.1788 0.3507 9.7658
Pb Ac Mg
5 5 2
Direct
0.0663 0.2335 0.6339 Pb
0.9337 0.7665 0.3661 Pb
0.2443 0.6850 0.8264 Pb
0.0000 0.0000 0.0000 Pb
0.7557 0.3150 0.1736 Pb
0.4007 0.2810 0.9176 Ac
0.5000 0.5000 0.5000 Ac
0.3067 0.0589 0.3277 Ac
0.5993 0.7190 0.0824 Ac
0.6933 0.9411 0.6723 Ac
0.8560 0.5341 0.7540 Mg
0.1440 0.4659 0.2460 Mg
```

## Properties
energy of formation from the pure elements	-0.4555	eV per atom
space group	C2/m (12)



The following is a DFT calculation (GGA-PBE) of an optimized crystal structure of CaY2Cl.

Geometry as POSCAR:
```
CaY2Cl
1.0
-1.4499 1.8653 2.6316
1.7277 -1.9874 2.3606
7.3836 6.1082 -0.2617
Cl Y Ca
1 2 1
Direct
0.5000 0.5000 0.7404 Cl
0.0000 0.0000 0.9861 Y
0.5000 0.5000 0.2393 Y
0.0000 0.0000 0.5342 Ca
```

## Properties
energy relative to the elements, uncorrected	-0.608	eV per atom
space group	P4mm (99)
excess energy over the best structure of this formula in the dataset	0.123	eV per atom



The following is a DFT calculation (GGA-PBE) of an optimized crystal structure of SiTcRu3.

Geometry as POSCAR:
```
SiTcRu3
1.0
4.6098 0.0000 0.0000
0.0000 4.6098 0.0000
0.0000 0.0000 4.6098
Ru Si Tc
3 1 1
Direct
0.5000 0.0000 0.0000 Ru
0.0000 0.5000 0.0000 Ru
0.0000 0.0000 0.5000 Ru
0.5000 0.5000 0.5000 Si
0.0000 0.0000 0.0000 Tc
```

## Properties
energy relative to the elements, uncorrected	1.725	eV per atom
space group	Pm-3m (221)
excess energy over the best structure of this formula in the dataset	0.832	eV per atom



The following is a DFT calculation (GGA-PBE) of an optimized crystal structure of CaAgBr2.

Geometry as POSCAR:
```
CaAgBr2
1.0
-3.2168 -0.0014 4.1611
-4.7157 2.3070 -0.3207
-4.3649 -2.9339 -0.0513
Ca Br Ag
1 2 1
Direct
0.0000 0.0000 0.0000 Ca
0.2500 0.2500 0.2500 Br
0.7500 0.7500 0.7500 Br
0.5000 0.5000 0.5000 Ag
```

## Properties
energy relative to the elements, uncorrected	-0.884	eV per atom
space group	Fm-3m (225)
excess energy over the best structure of this formula in the dataset	0.176	eV per atom



We obtain volume values of 244; 171; 83; 203; 130; 244; 103; 121; 414; 120; 98; 103 Å³/f.u. for the records listed above, in that order.
We obtain density values of 2.80; 12.87; 6.87; 3.00; 5.61; 8.20; 4.84; 4.50; 8.91; 3.51; 7.28; 4.97 Mg/m³ for the records listed above, in that order.